## PPdAuO2 (PBE)

Data for a geometry-optimized PPdAuO2 structure.

Values from the calculation:
* energy relative to the lowest polymorph listed for this composition: 0.000 eV per atom
* DOS at the Fermi energy: 0.701 states/eV per atom
* uncorrected energy: -22.03 eV per formula unit

abc: 3.814 3.814 5.342
angles: 90.00 90.00 90.00
Site moments in Bohr magnetons follow the coordinates.
Positions (direct):
Au: 0.500 0.500 0.500  0.01
O: 0.000 0.500 0.000  0.44
O: 0.500 0.000 0.000  0.44
Pd: 0.000 0.000 0.000  0.46
P: 0.000 0.000 0.500  0.05